## Y2ZrAg (PBE)

Data for a relaxed structure of Y2ZrAg.

abc: 5.9843 5.9843 5.9843
angles: 136.13 136.13 63.78
Sites, in units of the cell vectors:
Y (0.2500, 0.7500, 0.5000)
Zr (0.5000, 0.5000, 0.0000)
Ag (0.7500, 0.2500, 0.5000)
Y (0.0000, 0.0000, 0.0000)

Output
Energy above the most stable polymorph in this dataset   21.1 kJ/mol of atoms


## SrPtBr2 (PBE)

Data for a relaxed structure of SrPtBr2.

abc: 6.4930 6.4930 6.4930
angles: 142.42 142.42 54.19
Sites, in units of the cell vectors:
Sr (0.7500, 0.2500, 0.5000)
Br (0.2500, 0.7500, 0.5000)
Pt (0.5000, 0.5000, 0.0000)
Br (0.0000, 0.0000, 0.0000)

Output
Energy above the most stable polymorph in this dataset   39.2 kJ/mol of atoms
E_form (uncorrected)   -737 meV/atom


Copy entry 1 word for word.
## Y2ZrAg (PBE)

Data for a relaxed structure of Y2ZrAg.

abc: 5.9843 5.9843 5.9843
angles: 136.13 136.13 63.78
Sites, in units of the cell vectors:
Y (0.2500, 0.7500, 0.5000)
Zr (0.5000, 0.5000, 0.0000)
Ag (0.7500, 0.2500, 0.5000)
Y (0.0000, 0.0000, 0.0000)

Output
Energy above the most stable polymorph in this dataset   21.1 kJ/mol of atoms


- Which formula does entry 2 have?
  SrPtBr2


- Look up the energy above the most stable polymorph in this dataset of the first one.
  21.1 kJ/mol of atoms